(1)
## RbZrSb2 (PBE)

Data for an optimized crystal structure of RbZrSb2.

Values from the calculation:
calculated density = 3.513 g/cm³
energy relative to the lowest polymorph listed for this composition = 1.03 eV/f.u.
raw formation energy = -0.173 eV per atom
DFT total energy = -4.613 eV/atom

Cell: 6.7620 6.7620 17.3767 Å, 90.00 90.00 90.00°
Closest atoms and distances in Å follow each position.
Fractional coordinates of all 16 atoms:
Rb (0.0000, 0.2500, 0.3750)  8 Sb 4.36, 4 Zr 4.78
Rb (0.0000, 0.7500, 0.6250)  8 Sb 4.36, 4 Zr 4.78
Rb (0.5000, 0.2500, 0.1250)  8 Sb 4.36, 4 Zr 4.78
Rb (0.5000, 0.7500, 0.8750)  8 Sb 4.36, 4 Zr 4.78
Zr (0.0000, 0.2500, 0.8750)  4 Sb 2.75
Zr (0.0000, 0.7500, 0.1250)  4 Sb 2.75
Zr (0.5000, 0.2500, 0.6250)  4 Sb 2.75
Zr (0.5000, 0.7500, 0.3750)  4 Sb 2.75
Sb (0.0000, 0.0000, 0.0000)  2 Zr 2.75
Sb (0.0000, 0.5000, 0.0000)  2 Zr 2.75
Sb (0.2500, 0.2500, 0.7500)  2 Zr 2.75
Sb (0.2500, 0.7500, 0.2500)  2 Zr 2.75
Sb (0.5000, 0.0000, 0.5000)  2 Zr 2.75
Sb (0.5000, 0.5000, 0.5000)  2 Zr 2.75
Sb (0.7500, 0.2500, 0.7500)  2 Zr 2.75
Sb (0.7500, 0.7500, 0.2500)  2 Zr 2.75



(2)
## RbSc2 (PBE)

Data for an optimized crystal structure of RbSc2.

Values from the calculation:
ΔE_f = 0.506 eV per atom
calculated density = 2.870 g/cm³
DFT total energy = -4.038 eV/atom

Cell: 6.0522 3.4972 9.8104 Å, 90.00 102.21 90.00°
Closest atoms and distances in Å follow each position.
Fractional coordinates of all 6 atoms:
Rb (0.0000, 0.0000, 0.0000)  6 Rb 3.49-3.50
Rb (0.5000, 0.5000, 0.0000)  6 Rb 3.49-3.50
Sc (0.2096, 0.0000, 0.6250)  9 Sc 3.13-3.50
Sc (0.2904, 0.5000, 0.3750)  9 Sc 3.13-3.50
Sc (0.7096, 0.5000, 0.6250)  9 Sc 3.13-3.50
Sc (0.7904, 0.0000, 0.3750)  9 Sc 3.13-3.50



(3)
## RbSc2Se (PBE)

Data for an optimized crystal structure of RbSc2Se.

Values from the calculation:
calculated density = 3.375 g/cm³
raw formation energy = -0.406 eV per atom
DFT total energy = -4.685 eV/atom

Cell: 3.7358 3.7358 31.0632 Å, 90.00 90.00 120.00°
Closest atoms and distances in Å follow each position.
Fractional coordinates of all 12 atoms:
Rb (0.0000, 0.0000, 0.0000)  2 Sc 3.62, 6 Rb 3.74
Rb (0.3333, 0.6667, 0.6667)  2 Sc 3.62, 6 Rb 3.74
Rb (0.6667, 0.3333, 0.3333)  2 Sc 3.62, 6 Rb 3.74
Sc (0.0000, 0.0000, 0.1167)  3 Se 2.66
Sc (0.0000, 0.0000, 0.8833)  3 Se 2.66
Sc (0.3333, 0.6667, 0.5500)  3 Se 2.66
Sc (0.3333, 0.6667, 0.7833)  3 Se 2.66
Sc (0.6667, 0.3333, 0.2167)  3 Se 2.66
Sc (0.6667, 0.3333, 0.4500)  3 Se 2.66
Se (0.0000, 0.0000, 0.5000)  6 Sc 2.66
Se (0.3333, 0.6667, 0.1667)  6 Sc 2.66
Se (0.6667, 0.3333, 0.8333)  6 Sc 2.66



(4)
## RbSc3Se (PBE)

Data for an optimized crystal structure of RbSc3Se.

Values from the calculation:
calculated density = 3.267 g/cm³
energy relative to the lowest polymorph listed for this composition = 0.00 eV/f.u.
raw formation energy = 0.041 eV per atom
DFT total energy = -4.648 eV/atom

Cell: 5.3381 5.3381 5.3381 Å, 90.00 90.00 90.00°
Closest atoms and distances in Å follow each position.
Fractional coordinates of all 5 atoms:
Rb (0.0000, 0.0000, 0.0000)  12 Sc 3.77
Sc (0.0000, 0.5000, 0.5000)  2 Se 2.67
Sc (0.5000, 0.0000, 0.5000)  2 Se 2.67
Sc (0.5000, 0.5000, 0.0000)  2 Se 2.67
Se (0.5000, 0.5000, 0.5000)  6 Sc 2.67



(5)
## RbSc2Se (PBE)

Data for an optimized crystal structure of RbSc2Se.

Values from the calculation:
calculated density = 2.935 g/cm³
raw formation energy = 0.174 eV per atom
DFT total energy = -4.104 eV/atom

Cell: 3.7553 3.7553 35.3477 Å, 90.00 90.00 120.00°
Closest atoms and distances in Å follow each position.
Fractional coordinates of all 12 atoms:
Rb (0.0000, 0.0000, 0.0000)  6 Rb 3.76, 6 Sc 4.08
Rb (0.3333, 0.6667, 0.6667)  6 Rb 3.76, 6 Sc 4.08
Rb (0.6667, 0.3333, 0.3333)  6 Rb 3.76, 6 Sc 4.08
Sc (0.0000, 0.0000, 0.4311)  1 Se 2.44
Sc (0.0000, 0.0000, 0.5689)  1 Se 2.44
Sc (0.3333, 0.6667, 0.0977)  1 Se 2.44
Sc (0.3333, 0.6667, 0.2356)  1 Se 2.44
Sc (0.6667, 0.3333, 0.7644)  1 Se 2.44
Sc (0.6667, 0.3333, 0.9023)  1 Se 2.44
Se (0.0000, 0.0000, 0.5000)  2 Sc 2.44
Se (0.3333, 0.6667, 0.1667)  2 Sc 2.44
Se (0.6667, 0.3333, 0.8333)  2 Sc 2.44



(6)
## RbSc4Se6 (PBE)

Data for an optimized crystal structure of RbSc4Se6.

Values from the calculation:
calculated density = 4.524 g/cm³
raw formation energy = -1.603 eV per atom
DFT total energy = -5.894 eV/atom

Cell: 6.8562 6.8562 20.9253 Å, 90.00 90.00 146.53°
Closest atoms and distances in Å follow each position.
Fractional coordinates of all 22 atoms:
Rb (0.1613, 0.8387, 0.7500)  6 Se 3.29-3.32
Rb (0.8387, 0.1613, 0.2500)  6 Se 3.29-3.32
Sc (0.0938, 0.9062, 0.1306)  5 Se 2.57-2.85
Sc (0.0938, 0.9062, 0.3694)  5 Se 2.57-2.85
Sc (0.3670, 0.6330, 0.0388)  6 Se 2.61-2.82
Sc (0.3670, 0.6330, 0.4612)  6 Se 2.61-2.82
Sc (0.6330, 0.3670, 0.5388)  6 Se 2.61-2.82
Sc (0.6330, 0.3670, 0.9612)  6 Se 2.61-2.82
Sc (0.9062, 0.0938, 0.6306)  5 Se 2.57-2.85
Sc (0.9062, 0.0938, 0.8694)  5 Se 2.57-2.85
Se (0.0000, 0.0000, 0.0000)  6 Sc 2.76-3.00
Se (0.0000, 0.0000, 0.5000)  6 Sc 2.76-3.00
Se (0.1386, 0.8614, 0.2500)  2 Sc 2.57
Se (0.2720, 0.7280, 0.5800)  5 Sc 2.78-2.85
Se (0.2720, 0.7280, 0.9200)  5 Sc 2.78-2.85
Se (0.4615, 0.5385, 0.1485)  3 Sc 2.61-2.66
Se (0.4615, 0.5385, 0.3515)  3 Sc 2.61-2.66
Se (0.5385, 0.4615, 0.6485)  3 Sc 2.61-2.66
Se (0.5385, 0.4615, 0.8515)  3 Sc 2.61-2.66
Se (0.7280, 0.2720, 0.0800)  5 Sc 2.78-2.85
Se (0.7280, 0.2720, 0.4200)  5 Sc 2.78-2.85
Se (0.8614, 0.1386, 0.7500)  2 Sc 2.57



(7)
## RbSc3Se (PBE)

Data for an optimized crystal structure of RbSc3Se.

Values from the calculation:
calculated density = 3.746 g/cm³
energy relative to the lowest polymorph listed for this composition = 7.04 eV/f.u.
raw formation energy = 1.449 eV per atom
DFT total energy = -3.240 eV/atom

Cell: 5.1001 5.1001 5.1001 Å, 90.00 90.00 90.00°
Closest atoms and distances in Å follow each position.
Fractional coordinates of all 5 atoms:
Rb (0.0000, 0.0000, 0.0000)  6 Sc 2.55
Sc (0.0000, 0.0000, 0.5000)  2 Rb 2.55
Sc (0.0000, 0.5000, 0.0000)  2 Rb 2.55
Sc (0.5000, 0.0000, 0.0000)  2 Rb 2.55
Se (0.5000, 0.5000, 0.5000)  12 Sc 3.61



(8)
## RbSc5Se8 (PBE)

Data for an optimized crystal structure of RbSc5Se8.

Values from the calculation:
calculated density = 4.270 g/cm³
raw formation energy = -1.700 eV per atom
DFT total energy = -6.021 eV/atom

Cell: 10.2065 10.2065 9.6826 Å, 104.30 104.30 22.04°
Closest atoms and distances in Å follow each position.
Fractional coordinates of all 14 atoms:
Rb (0.0000, 0.0000, 0.0000)  10 Se 3.67-4.00, 2 Rb 3.90
Sc (0.1561, 0.1561, 0.4681)  6 Se 2.64-2.86
Sc (0.2051, 0.2051, 0.8428)  6 Se 2.65-2.83
Sc (0.5000, 0.5000, 0.5000)  6 Se 2.70-2.73
Sc (0.7949, 0.7949, 0.1572)  6 Se 2.65-2.83
Sc (0.8439, 0.8439, 0.5319)  6 Se 2.64-2.86
Se (0.0767, 0.0767, 0.6563)  4 Sc 2.70-2.75
Se (0.2644, 0.2644, 0.3446)  5 Sc 2.73-2.86
Se (0.3331, 0.3331, 0.0069)  3 Sc 2.65-2.66
Se (0.4162, 0.4162, 0.6824)  3 Sc 2.64-2.73
Se (0.5838, 0.5838, 0.3176)  3 Sc 2.64-2.73
Se (0.6669, 0.6669, 0.9931)  3 Sc 2.65-2.66
Se (0.7356, 0.7356, 0.6554)  5 Sc 2.73-2.86
Se (0.9233, 0.9233, 0.3437)  4 Sc 2.70-2.75



(9)
## RbSc3Se4 (PBE)

Data for an optimized crystal structure of RbSc3Se4.

Values from the calculation:
calculated density = 4.631 g/cm³
raw formation energy = -1.593 eV per atom
DFT total energy = -5.830 eV/atom

Cell: 3.9520 3.9520 28.4276 Å, 90.00 90.00 120.00°
Closest atoms and distances in Å follow each position.
Fractional coordinates of all 16 atoms:
Rb (0.3333, 0.6667, 0.2500)  6 Se 3.38
Rb (0.6667, 0.3333, 0.7500)  6 Se 3.38
Sc (0.0000, 0.0000, 0.0000)  6 Se 2.76
Sc (0.0000, 0.0000, 0.5000)  6 Se 2.76
Sc (0.3333, 0.6667, 0.6101)  6 Se 2.72-2.77
Sc (0.3333, 0.6667, 0.8899)  6 Se 2.72-2.77
Sc (0.6667, 0.3333, 0.1101)  6 Se 2.72-2.77
Sc (0.6667, 0.3333, 0.3899)  6 Se 2.72-2.77
Se (0.0000, 0.0000, 0.1623)  3 Sc 2.72
Se (0.0000, 0.0000, 0.3377)  3 Sc 2.72
Se (0.0000, 0.0000, 0.6623)  3 Sc 2.72
Se (0.0000, 0.0000, 0.8377)  3 Sc 2.72
Se (0.3333, 0.6667, 0.0546)  6 Sc 2.76-2.77
Se (0.3333, 0.6667, 0.4454)  6 Sc 2.76-2.77
Se (0.6667, 0.3333, 0.5546)  6 Sc 2.76-2.77
Se (0.6667, 0.3333, 0.9454)  6 Sc 2.76-2.77



(10)
## RbScSe4 (PBE)

Data for an optimized crystal structure of RbScSe4.

Values from the calculation:
calculated density = 3.696 g/cm³
raw formation energy = -1.012 eV per atom
DFT total energy = -4.551 eV/atom

Cell: 8.2293 8.2293 7.2292 Å, 112.56 112.56 95.16°
Closest atoms and distances in Å follow each position.
Fractional coordinates of all 12 atoms:
Rb (0.1346, 0.8654, 0.7500)  8 Se 3.52-3.60
Rb (0.8654, 0.1346, 0.2500)  8 Se 3.52-3.60
Sc (0.4973, 0.5027, 0.7500)  8 Se 2.78-2.87
Sc (0.5027, 0.4973, 0.2500)  8 Se 2.78-2.87
Se (0.2154, 0.5062, 0.3648)  1 Se 2.39
Se (0.2329, 0.3117, 0.8067)  1 Se 2.39
Se (0.3117, 0.2329, 0.3067)  1 Se 2.39
Se (0.4938, 0.7846, 0.1352)  1 Se 2.39
Se (0.5062, 0.2154, 0.8648)  1 Se 2.39
Se (0.6883, 0.7671, 0.6933)  1 Se 2.39
Se (0.7671, 0.6883, 0.1933)  1 Se 2.39
Se (0.7846, 0.4938, 0.6352)  1 Se 2.39



(11)
## Rb3ScSe3 (PBE)

Data for an optimized crystal structure of Rb3ScSe3.

Values from the calculation:
calculated density = 3.273 g/cm³
energy relative to the lowest polymorph listed for this composition = 0.00 eV/f.u.
raw formation energy = -1.398 eV per atom
DFT total energy = -4.211 eV/atom

Cell: 8.5487 8.5487 8.3406 Å, 96.32 96.32 113.81°
Closest atoms and distances in Å follow each position.
Fractional coordinates of all 14 atoms:
Rb (0.1795, 0.8205, 0.0000)  6 Se 3.45-3.72
Rb (0.2508, 0.7492, 0.5000)  4 Se 3.55-3.58
Rb (0.3859, 0.3859, 0.1409)  5 Se 3.31-3.65, 1 Rb 3.48
Rb (0.6141, 0.6141, 0.8591)  5 Se 3.31-3.65, 1 Rb 3.48
Rb (0.7492, 0.2508, 0.5000)  4 Se 3.55-3.58
Rb (0.8205, 0.1795, 0.0000)  6 Se 3.45-3.72
Sc (0.1709, 0.1709, 0.6444)  4 Se 2.53-2.63
Sc (0.8291, 0.8291, 0.3556)  4 Se 2.53-2.63
Se (0.1016, 0.1016, 0.3222)  2 Sc 2.61-2.63
Se (0.1558, 0.4456, 0.7734)  1 Sc 2.53
Se (0.4456, 0.1558, 0.7734)  1 Sc 2.53
Se (0.5544, 0.8442, 0.2266)  1 Sc 2.53
Se (0.8442, 0.5544, 0.2266)  1 Sc 2.53
Se (0.8984, 0.8984, 0.6778)  2 Sc 2.61-2.63



(12)
## RbSc2Se (PBE)

Data for an optimized crystal structure of RbSc2Se.

Values from the calculation:
calculated density = 2.524 g/cm³
raw formation energy = -0.031 eV per atom
DFT total energy = -4.310 eV/atom

Cell: 6.1905 6.1905 17.4669 Å, 90.00 90.00 90.00°
Closest atoms and distances in Å follow each position.
Fractional coordinates of all 16 atoms:
Rb (0.0000, 0.2500, 0.3750)  8 Sc 4.09, 4 Se 4.38
Rb (0.0000, 0.7500, 0.6250)  8 Sc 4.09, 4 Se 4.38
Rb (0.5000, 0.2500, 0.1250)  8 Sc 4.09, 4 Se 4.38
Rb (0.5000, 0.7500, 0.8750)  8 Sc 4.09, 4 Se 4.38
Sc (0.0000, 0.0000, 0.0000)  2 Se 2.68
Sc (0.0000, 0.5000, 0.0000)  2 Se 2.68
Sc (0.2500, 0.2500, 0.7500)  2 Se 2.68
Sc (0.2500, 0.7500, 0.2500)  2 Se 2.68
Sc (0.5000, 0.0000, 0.5000)  2 Se 2.68
Sc (0.5000, 0.5000, 0.5000)  2 Se 2.68
Sc (0.7500, 0.2500, 0.7500)  2 Se 2.68
Sc (0.7500, 0.7500, 0.2500)  2 Se 2.68
Se (0.0000, 0.2500, 0.8750)  4 Sc 2.68
Se (0.0000, 0.7500, 0.1250)  4 Sc 2.68
Se (0.5000, 0.2500, 0.6250)  4 Sc 2.68
Se (0.5000, 0.7500, 0.3750)  4 Sc 2.68